Material: CaYAs2
Method: DFT, PBE
State: optimized geometry

Cell: 5.079 5.079 5.079 Å, 60.00 60.00 60.00°
Fractional coordinates of all 4 atoms:
Y  0.750  0.750  0.750
As  0.000  0.000  0.000
As  0.250  0.250  0.250
Ca  0.500  0.500  0.500

Values from the calculation:
Offset from the most stable computed form: 21.50 kcal/mol of atoms

=====

Material: CaYAs
Method: DFT, PBE
State: optimized geometry

Cell: 6.926 3.970 12.895 Å, 90.00 100.18 90.00°
Fractional coordinates of all 12 atoms:
Y  0.594  0.000  0.925
Y  0.594  0.500  0.425
Y  0.815  0.000  0.652
Y  0.815  0.500  0.152
As  0.005  0.000  0.043
As  0.005  0.500  0.543
As  0.632  0.000  0.269
As  0.632  0.500  0.769
Ca  0.318  0.000  0.649
Ca  0.318  0.500  0.149
Ca  0.076  0.000  0.380
Ca  0.076  0.500  0.880

=====

Material: Ca2YZnAs
Method: DFT, PBE
State: optimized geometry

Cell: 5.582 5.009 5.582 Å, 90.00 90.00 90.00°
Fractional coordinates of all 5 atoms:
Y  0.500  0.500  0.500
As  0.000  0.000  0.000
Ca  0.000  0.000  0.500
Ca  0.500  0.000  0.000
Zn  0.000  0.500  0.000

=====

Material: CaZnAs
Method: DFT, PBE
State: optimized geometry

Cell: 6.591 5.481 9.889 Å, 127.68 125.14 99.49°
Fractional coordinates of all 6 atoms:
As  0.164  0.248  0.906
As  0.003  0.292  0.253
Ca  0.679  0.407  0.958
Ca  0.489  0.133  0.201
Zn  0.539  0.935  0.468
Zn  0.628  0.605  0.691

=====

Material: CaZn2As2
Method: DFT, PBE
State: optimized geometry

Cell: 7.610 7.610 3.421 Å, 90.00 90.00 90.00°
Fractional coordinates of all 10 atoms:
As  0.189  0.689  0.500
As  0.689  0.811  0.500
As  0.811  0.311  0.500
As  0.311  0.189  0.500
Ca  0.000  0.000  0.000
Ca  0.500  0.500  0.000
Zn  0.384  0.884  0.000
Zn  0.884  0.616  0.000
Zn  0.616  0.116  0.000
Zn  0.116  0.384  0.000

=====

Material: Ca3ZnAs
Method: DFT, PBE
State: optimized geometry

Cell: 5.594 5.594 5.594 Å, 90.00 90.00 90.00°
Fractional coordinates of all 5 atoms:
As  0.000  0.000  0.000
Ca  0.000  0.500  0.000
Ca  0.000  0.000  0.500
Ca  0.500  0.000  0.000
Zn  0.500  0.500  0.500

Values from the calculation:
Offset from the most stable computed form: 0.00 kcal/mol of atoms

=====

Material: CaZnAs
Method: DFT, PBE
State: optimized geometry

Cell: 4.825 4.020 8.129 Å, 104.31 107.26 90.00°
Fractional coordinates of all 6 atoms:
Ca  0.342  0.842  0.683
Ca  0.658  0.158  0.317
Zn  0.256  0.500  0.000
Zn  0.744  0.500  0.000
As  0.854  0.354  0.709
As  0.146  0.646  0.291

=====

Material: CaZn2As
Method: DFT, PBE
State: optimized geometry

Cell: 4.853 6.224 3.132 Å, 75.49 89.84 112.90°
Fractional coordinates of all 4 atoms:
As  0.000  0.500  0.500
Ca  0.500  0.500  0.000
Zn  0.000  0.000  0.000
Zn  0.500  0.000  0.500

=====

Material: CaZn2As
Method: DFT, PBE
State: optimized geometry

Cell: 3.399 3.672 6.541 Å, 90.00 90.00 90.00°
Fractional coordinates of all 4 atoms:
As  0.000  0.000  0.457
Ca  0.500  0.500  0.741
Zn  0.000  0.000  0.056
Zn  0.500  0.500  0.246

=====

Material: CaZnAs
Method: DFT, PBE
State: optimized geometry

Cell: 4.202 8.356 7.478 Å, 90.00 90.00 90.00°
Fractional coordinates of all 12 atoms:
As  0.000  0.750  0.780
As  0.000  0.250  0.780
As  0.500  0.250  0.280
As  0.500  0.750  0.280
Ca  0.000  0.000  0.393
Ca  0.500  0.500  0.893
Ca  0.000  0.500  0.466
Ca  0.500  0.000  0.966
Zn  0.000  0.341  0.112
Zn  0.000  0.659  0.112
Zn  0.500  0.841  0.612
Zn  0.500  0.159  0.612

=====

Material: CaZn2As
Method: DFT, PBE
State: optimized geometry

Cell: 4.915 4.915 4.915 Å, 60.00 60.00 60.00°
Fractional coordinates of all 4 atoms:
As  0.500  0.500  0.500
Ca  0.750  0.750  0.750
Zn  0.000  0.000  0.000
Zn  0.250  0.250  0.250

=====

Material: Ca2ZnAs2
Method: DFT, PBE
State: optimized geometry

Cell: 5.595 5.595 7.616 Å, 68.45 68.45 90.00°
Fractional coordinates of all 5 atoms:
As  0.178  0.178  0.644
As  0.822  0.822  0.356
Ca  0.750  0.250  0.500
Ca  0.250  0.750  0.500
Zn  0.000  0.000  0.000

=====

no.,magnetic moment (μB per formula unit),formation enthalpy at 0 K (meV/atom),DFT total energy (eV per atom)
1,0.0,-269,-4.710
2,0.0,-904,-5.275
3,0.0,-45,-3.323
4,0.0,-761,-3.402
5,0.0,-267,-3.037
6,0.0,-414,-2.800
7,0.0,-651,-3.292
8,0.0,-193,-2.493
9,0.0,-263,-2.562
10,0.0,-721,-3.363
11,0.0,-225,-2.525
12,0.0,-741,-3.657